(1)
This record from Alexandria describes an optimized crystal structure of PrHf2Mo. The functional is GGA-PBE.

Cell: 3.390 3.390 8.223 Å, 90.00 90.00 90.00°
Sites, in units of the cell vectors:
Pr1 0.500 0.500 0.500
Mo1 0.500 0.500 0.000
Hf1 0.000 0.000 0.814
Hf2 0.000 0.000 0.186

Properties
total magnetization	0.000	μB per atom
E_form	0.0658	eV per atom
relative energy among the computed polymorphs	0	meV per atom



(2)
This record from Alexandria describes an optimized crystal structure of HfMo2Pt. The functional is GGA-PBE.

Cell: 4.568 4.568 4.568 Å, 60.00 60.00 60.00°
Sites, in units of the cell vectors:
Mo1 0.250 0.250 0.250
Mo2 0.750 0.750 0.750
Hf1 0.000 0.000 0.000
Pt1 0.500 0.500 0.500

Properties
total magnetization	0.000	μB per atom
E_form	0.0552	eV per atom
relative energy among the computed polymorphs	0	meV per atom



(3)
This record from Alexandria describes an optimized crystal structure of HfMo2Pt. The functional is GGA-PBE.

Cell: 7.559 7.559 5.947 Å, 50.54 50.54 90.00°
Sites, in units of the cell vectors:
Mo1 0.650 0.125 0.250
Mo2 0.100 0.625 0.250
Mo3 0.375 0.350 0.750
Mo4 0.875 0.900 0.750
Hf1 0.500 0.500 0.000
Hf2 0.250 0.750 0.500
Pt1 0.000 0.000 0.000
Pt2 0.750 0.250 0.500

Properties
total magnetization	0.000	μB per atom
E_form	0.3023	eV per atom
relative energy among the computed polymorphs	247	meV per atom



(4)
This record from Alexandria describes an optimized crystal structure of HfMoPt3. The functional is GGA-PBE.

Cell: 4.779 4.779 4.779 Å, 90.00 90.00 90.00°
Sites, in units of the cell vectors:
Mo1 0.000 0.000 0.000
Hf1 0.500 0.500 0.500
Pt1 0.000 0.500 0.000
Pt2 0.000 0.000 0.500
Pt3 0.500 0.000 0.000

Properties
total magnetization	0.000	μB per atom
E_form	0.7703	eV per atom
relative energy among the computed polymorphs	0	meV per atom



(5)
This record from Alexandria describes an optimized crystal structure of Hf6MoPt. The functional is GGA-PBE.

Cell: 8.123 8.123 8.123 Å, 146.67 146.67 47.86°
Sites, in units of the cell vectors:
Hf1 0.255 0.255 0.000
Hf2 0.889 0.389 0.500
Hf3 0.389 0.889 0.500
Hf4 0.111 0.611 0.500
Hf5 0.745 0.745 0.000
Hf6 0.611 0.111 0.500
Mo1 0.500 0.500 0.000
Pt1 0.000 0.000 0.000

Properties
total magnetization	0.000	μB per atom
E_form	-0.2747	eV per atom



(6)
This record from Alexandria describes an optimized crystal structure of HfMo2Pt2. The functional is GGA-PBE.

Cell: 3.598 3.598 7.341 Å, 75.82 75.82 90.00°
Sites, in units of the cell vectors:
Mo1 0.750 0.250 0.500
Mo2 0.250 0.750 0.500
Hf1 0.000 0.000 0.000
Pt1 0.405 0.405 0.190
Pt2 0.595 0.595 0.810

Properties
total magnetization	0.000	μB per atom
E_form	-0.3148	eV per atom
relative energy among the computed polymorphs	0	meV per atom



(7)
This record from Alexandria describes an optimized crystal structure of HfMo2Pt2. The functional is GGA-PBE.

Cell: 6.858 6.858 3.717 Å, 90.00 90.00 90.00°
Sites, in units of the cell vectors:
Mo1 0.165 0.665 0.500
Mo2 0.665 0.835 0.500
Mo3 0.835 0.335 0.500
Mo4 0.335 0.165 0.500
Hf1 0.000 0.000 0.000
Hf2 0.500 0.500 0.000
Pt1 0.367 0.867 0.000
Pt2 0.867 0.633 0.000
Pt3 0.633 0.133 0.000
Pt4 0.133 0.367 0.000

Properties
total magnetization	0.000	μB per atom
E_form	-0.1814	eV per atom
relative energy among the computed polymorphs	133	meV per atom



(8)
This record from Alexandria describes an optimized crystal structure of Hf8MoPt2. The functional is GGA-PBE.

Cell: 4.687 6.275 8.213 Å, 99.27 106.58 90.00°
Sites, in units of the cell vectors:
Hf1 0.412 0.552 0.824
Hf2 0.665 0.954 0.329
Hf3 0.812 0.693 0.624
Hf4 0.972 0.247 0.943
Hf5 0.188 0.307 0.376
Hf6 0.335 0.046 0.671
Hf7 0.588 0.448 0.176
Hf8 0.028 0.753 0.057
Mo1 0.500 0.000 0.000
Pt1 0.797 0.272 0.594
Pt2 0.203 0.728 0.406

Properties
total magnetization	0.000	μB per atom
E_form	-0.3923	eV per atom